Entry 1:
Material: Tb2CeTa
Method: DFT, PBE-GGA
State: relaxed

Values from the calculation:
SG: Fm-3m, No. 225
Calculated density, Mg/m³: 10.1
ΔE_f, eV per atom: 0.450

```
Tb2CeTa
1.0
-4.7873 1.4302 1.7581
-0.9864 0.1103 5.2028
-0.6364 4.6326 2.4772
Tb Ce Ta
2 1 1
Cartesian
-1.6015 1.5467 2.3597
-4.8087 4.6263 7.0785
-3.2051 3.0865 4.7191
0.0000 0.0000 0.0000
```

Entry 2:
Material: Pm4Er3Te8
Method: DFT, PBE-GGA
State: relaxed

Values from the calculation:
SG: C2/m, No. 12
Calculated density, Mg/m³: 7.3
ΔE_f (raw), eV per atom: -1.3820

```
Pm4Er3Te8
1.0
8.7542 -0.1257 -0.1806
-4.2730 7.6528 0.1474
-4.2730 -2.5184 7.2281
Pm Er Te
4 3 8
Cartesian
4.3771 -0.0629 -0.0903
-2.1365 3.8264 0.0737
0.0000 0.0000 0.0000
-2.1365 -1.2592 3.6140
2.2406 3.7636 -0.0166
2.2406 -1.3221 3.5237
0.1041 2.5044 3.5975
2.2852 1.2834 1.8436
-4.2730 5.0223 1.9787
-2.1729 1.3467 1.9345
0.1041 5.0066 1.8555
0.1041 0.0021 5.3394
2.3811 3.6620 5.2604
-4.2730 0.1122 5.3968
-2.0770 3.7253 5.3513
```

Entry 3:
Material: Tm3ScBi2
Method: DFT, PBE-GGA
State: relaxed

Values from the calculation:
SG: C2/m, No. 12
Calculated density, Mg/m³: 8.7
ΔE_f, eV per atom: -0.339

```
Tm3ScBi2
1.0
4.2253 0.0000 0.0000
2.1127 8.3286 0.4397
2.1127 2.3305 10.6412
Tm Sc Bi
6 2 4
Cartesian
2.1127 2.7227 8.3642
6.3380 7.9364 2.7167
6.3380 8.9003 10.7816
2.1127 1.7588 0.2993
6.3380 8.4793 7.2974
2.1127 2.1798 3.7835
4.2254 5.6255 7.3609
4.2253 5.0336 3.7200
6.3380 5.8951 9.3275
2.1127 4.7640 1.7534
4.2253 3.0750 5.9414
4.2253 7.5841 5.1395
```

Entry 4:
Material: TaTi3Tc
Method: DFT, PBE-GGA
State: relaxed

Values from the calculation:
SG: Pm-3m, No. 221
Calculated density, Mg/m³: 6.9
ΔE_f, eV per atom: 1.397

```
TaTi3Tc
1.0
-2.9683 -2.2459 -2.8299
1.0282 -4.0362 2.1247
-3.4634 0.7265 3.0561
Ti Tc Ta
3 1 1
Cartesian
0.5141 -2.0181 1.0624
-1.7317 0.3633 1.5281
-1.4841 -1.1229 -1.4149
-2.7017 -2.7778 1.1755
0.0000 0.0000 0.0000
```

Entry 5:
Material: Pr2Ga4NiRu3
Method: DFT, PBE-GGA
State: relaxed

Values from the calculation:
SG: P-4m2, No. 115
Calculated density, Mg/m³: 8.2
ΔE_f, eV per atom: -0.426

```
Pr2Ga4NiRu3
1.0
-0.0173 4.0744 -1.2672
0.3807 -1.2607 -4.0587
-10.1824 -0.3103 -0.8588
Pr Ga Ni Ru
2 4 1 3
Cartesian
-2.6587 1.9565 -0.8571
-7.3420 -0.8599 -2.6646
0.1817 1.4069 -2.6629
0.0000 0.0000 0.0000
-6.3446 1.8441 -1.1680
-3.6561 -0.7476 -2.3537
-4.9095 1.2517 -3.0923
-5.0912 -0.1551 -0.4294
-8.8598 1.7675 -1.3801
-1.1409 -0.6709 -2.1416
```

Entry 6:
Material: Ag5PbSe4
Method: DFT, PBE-GGA
State: relaxed

Values from the calculation:
SG: Immm, No. 71
Calculated density, Mg/m³: 7.2
ΔE_f (raw), eV per atom: -0.1206

```
Ag5PbSe4
1.0
4.2021 0.0000 0.0000
-2.1011 7.7239 -3.2854
0.0000 -0.6966 7.8768
Ag Pb Se
5 1 4
Cartesian
0.0000 2.5068 2.0209
0.0000 2.1260 6.3279
2.1011 4.9014 -1.7365
2.1011 -0.3483 3.9384
2.1011 4.5206 2.5705
2.1011 0.0000 0.0000
2.1011 3.0884 0.2737
2.1011 7.5260 -1.0493
0.0000 3.9389 4.3178
0.0000 -0.4986 5.6407
```

Ordered M_tot results: 0.4 0.0 0.0 0.0 0.0 0.0; unit μB/f.u..